No. 1
This record from Alexandria via LeMat-Bulk describes a relaxed structure of PmSmEuTl. The functional is PBE.

## Properties
Crystal system: cubic
Density of states at the Fermi level (states/eV/cell): 24.8
Calculated volume (Å³ per atom): 31.7
E_form (kJ/mol of formula units): -6.6
Final energy (eV per atom): -5.545

Cell lengths 7.9732, 7.9732, 7.9732 Å; angles 90.00, 90.00, 90.00 degrees
Last column: nearest neighbours and their distance in Å.
Space group F-43m (No. 216)
One atom of each set of equivalent atoms:
Pm: 0.0000 0.0000 0.0000  4 Sm 3.45, 4 Eu 3.45
Sm: 0.2500 0.2500 0.7500  4 Tl 3.45, 4 Pm 3.45
Eu: 0.2500 0.2500 0.2500  4 Tl 3.45, 4 Pm 3.45
Tl: 0.0000 0.0000 0.5000  4 Sm 3.45, 4 Eu 3.45

No. 2
This record from Alexandria via LeMat-Bulk describes a relaxed structure of PmSmEuZn. The functional is PBE.

## Properties
Crystal system: cubic
Density of states at the Fermi level (states/eV/cell): 15.6
Calculated volume (Å³ per atom): 29.1
E_form (kJ/mol of formula units): 21.0
Final energy (eV per atom): -5.200

Cell lengths 7.7495, 7.7495, 7.7495 Å; angles 90.00, 90.00, 90.00 degrees
Last column: nearest neighbours and their distance in Å.
Space group F-43m (No. 216)
One atom of each set of equivalent atoms:
Pm: 0.0000 0.0000 0.0000  4 Zn 3.36, 4 Eu 3.36
Sm: 0.0000 0.0000 0.5000  4 Zn 3.36, 4 Eu 3.36
Eu: 0.2500 0.2500 0.2500  4 Pm 3.36, 4 Sm 3.36
Zn: 0.2500 0.2500 0.7500  4 Pm 3.36, 4 Sm 3.36

No. 3
This record from Alexandria via LeMat-Bulk describes a relaxed structure of PmEuSn2. The functional is PBE.

## Properties
Crystal system: tetragonal
Density of states at the Fermi level (states/eV/cell): 2.7
Calculated volume (Å³ per atom): 29.5
E_form (kJ/mol of formula units): -244.0
Final energy (eV per atom): -6.390

Cell lengths 4.0902, 4.0902, 7.0616 Å; angles 90.00, 90.00, 90.00 degrees
Last column: nearest neighbours and their distance in Å.
Space group P4/mmm (No. 123)
One atom of each set of equivalent atoms:
Pm: 0.0000 0.0000 0.0000  8 Sn 3.32, 2 Eu 3.53
Eu: 0.0000 0.0000 0.5000  8 Sn 3.46, 2 Pm 3.53
Sn: 0.5000 0.5000 0.2319  1 Sn 3.27, 4 Pm 3.32, 4 Eu 3.46

No. 4
This record from Alexandria via LeMat-Bulk describes a relaxed structure of PmEuSn. The functional is PBE.

## Properties
Crystal system: tetragonal
Density of states at the Fermi level (states/eV/cell): 6.2
Calculated volume (Å³ per atom): 30.4
E_form (kJ/mol of formula units): -129.9
Final energy (eV per atom): -6.791

Cell lengths 4.2287, 4.2287, 10.2023 Å; angles 90.00, 90.00, 90.00 degrees
Last column: nearest neighbours and their distance in Å.
Space group I4mm (No. 107)
One atom of each set of equivalent atoms:
Pm: 0.0000 0.0000 0.0000  1 Eu 3.13, 4 Sn 3.34
Eu: 0.0000 0.0000 0.3070  1 Pm 3.13, 5 Sn 3.41-3.46
Sn: 0.0000 0.0000 0.6461  5 Pm 3.34-3.61, 5 Eu 3.41-3.46

No. 5
This record from Alexandria via LeMat-Bulk describes a relaxed structure of PmEuSn. The functional is PBE.

## Properties
Crystal system: cubic
Density of states at the Fermi level (states/eV/cell): 44.7
Calculated volume (Å³ per atom): 36.4
E_form (kJ/mol of formula units): -128.7
Final energy (eV per atom): -6.787

Cell lengths 7.5902, 7.5902, 7.5902 Å; angles 90.00, 90.00, 90.00 degrees
Last column: nearest neighbours and their distance in Å.
Space group F-43m (No. 216)
One atom of each set of equivalent atoms:
Pm: 0.0000 0.0000 0.0000  4 Sn 3.29
Eu: 0.0000 0.0000 0.5000  4 Sn 3.29
Sn: 0.2500 0.2500 0.2500  4 Pm 3.29, 4 Eu 3.29

No. 6
This record from Alexandria via LeMat-Bulk describes a relaxed structure of PmEuSn2. The functional is PBE.

## Properties
Crystal system: tetragonal
Density of states at the Fermi level (states/eV/cell): 2.1
Calculated volume (Å³ per atom): 28.7
E_form (kJ/mol of formula units): -250.0
Final energy (eV per atom): -6.405

Cell lengths 5.0446, 5.0446, 4.5186 Å; angles 90.00, 90.00, 90.00 degrees
Last column: nearest neighbours and their distance in Å.
Space group P4/mmm (No. 123)
One atom of each set of equivalent atoms:
Pm: 0.0000 0.0000 0.0000  8 Sn 3.39, 4 Eu 3.57
Eu: 0.5000 0.5000 0.0000  8 Sn 3.39, 4 Pm 3.57
Sn: 0.0000 0.5000 0.5000  4 Pm 3.39, 4 Eu 3.39, 4 Sn 3.57

No. 7
This record from Alexandria via LeMat-Bulk describes a relaxed structure of PmEuSn. The functional is PBE.

## Properties
Crystal system: trigonal
Density of states at the Fermi level (states/eV/cell): 2.9
Calculated volume (Å³ per atom): 31.1
E_form (kJ/mol of formula units): -114.6
Final energy (eV per atom): -6.739

Cell lengths 5.3246, 5.3246, 3.7981 Å; angles 90.00, 90.00, 120.00 degrees
Last column: nearest neighbours and their distance in Å.
Space group P3m1 (No. 156)
One atom of each set of equivalent atoms:
Pm: 0.0000 0.0000 0.0000  3 Sn 3.23, 3 Eu 3.46
Eu: 0.6667 0.3333 0.4170  3 Sn 3.31, 3 Pm 3.46
Sn: 0.3333 0.6667 0.7394  3 Pm 3.23, 3 Eu 3.31

No. 8
This record from Alexandria via LeMat-Bulk describes a relaxed structure of TbPmEuSn. The functional is PBE.

## Properties
Crystal system: cubic
Density of states at the Fermi level (states/eV/cell): 23.6
Calculated volume (Å³ per atom): 29.7
E_form (kJ/mol of formula units): -101.1
Final energy (eV per atom): -6.177

Cell lengths 7.8066, 7.8066, 7.8066 Å; angles 90.00, 90.00, 90.00 degrees
Last column: nearest neighbours and their distance in Å.
Space group F-43m (No. 216)
One atom of each set of equivalent atoms:
Tb: 0.0000 0.0000 0.0000  4 Eu 3.38, 4 Sn 3.38
Pm: 0.0000 0.0000 0.5000  4 Sn 3.38, 4 Eu 3.38
Eu: 0.2500 0.2500 0.7500  4 Tb 3.38, 4 Pm 3.38
Sn: 0.2500 0.2500 0.2500  4 Tb 3.38, 4 Pm 3.38

No. 9
This record from Alexandria via LeMat-Bulk describes a relaxed structure of PmEuTlSn. The functional is PBE.

## Properties
Crystal system: cubic
Density of states at the Fermi level (states/eV/cell): 8.2
Calculated volume (Å³ per atom): 29.7
E_form (kJ/mol of formula units): -197.2
Final energy (eV per atom): -5.859

Cell lengths 7.8078, 7.8078, 7.8078 Å; angles 90.00, 90.00, 90.00 degrees
Last column: nearest neighbours and their distance in Å.
Space group F-43m (No. 216)
One atom of each set of equivalent atoms:
Pm: 0.0000 0.0000 0.0000  4 Tl 3.38, 4 Sn 3.38
Eu: 0.0000 0.0000 0.5000  4 Sn 3.38, 4 Tl 3.38
Tl: 0.2500 0.2500 0.2500  4 Pm 3.38, 4 Eu 3.38
Sn: 0.2500 0.2500 0.7500  4 Pm 3.38, 4 Eu 3.38

No. 10
This record from Alexandria via LeMat-Bulk describes a relaxed structure of PmEuTmSn. The functional is PBE.

## Properties
Crystal system: cubic
Density of states at the Fermi level (states/eV/cell): 20.3
Calculated volume (Å³ per atom): 29.2
E_form (kJ/mol of formula units): -89.7
Final energy (eV per atom): -6.107

Cell lengths 7.7614, 7.7614, 7.7614 Å; angles 90.00, 90.00, 90.00 degrees
Last column: nearest neighbours and their distance in Å.
Space group F-43m (No. 216)
One atom of each set of equivalent atoms:
Pm: 0.0000 0.0000 0.0000  4 Sn 3.36, 4 Eu 3.36
Eu: 0.2500 0.2500 0.2500  4 Pm 3.36, 4 Tm 3.36
Tm: 0.0000 0.0000 0.5000  4 Sn 3.36, 4 Eu 3.36
Sn: 0.2500 0.2500 0.7500  4 Pm 3.36, 4 Tm 3.36

No. 11
This record from Alexandria via LeMat-Bulk describes a relaxed structure of PmEuZnSn. The functional is PBE.

## Properties
Crystal system: cubic
Density of states at the Fermi level (states/eV/cell): 10.2
Calculated volume (Å³ per atom): 27.5
E_form (kJ/mol of formula units): -191.1
Final energy (eV per atom): -5.571

Cell lengths 7.6088, 7.6088, 7.6088 Å; angles 90.00, 90.00, 90.00 degrees
Last column: nearest neighbours and their distance in Å.
Space group F-43m (No. 216)
One atom of each set of equivalent atoms:
Pm: 0.0000 0.0000 0.0000  4 Sn 3.29, 4 Zn 3.29
Eu: 0.0000 0.0000 0.5000  4 Sn 3.29, 4 Zn 3.29
Zn: 0.2500 0.2500 0.7500  4 Pm 3.29, 4 Eu 3.29
Sn: 0.2500 0.2500 0.2500  4 Pm 3.29, 4 Eu 3.29

No. 12
This record from Alexandria via LeMat-Bulk describes a relaxed structure of SrPmEu2. The functional is PBE.

## Properties
Crystal system: tetragonal
Density of states at the Fermi level (states/eV/cell): 3.6
Calculated volume (Å³ per atom): 41.8
E_form (kJ/mol of formula units): 49.6
Final energy (eV per atom): -6.617

Cell lengths 6.2401, 6.2401, 4.2956 Å; angles 90.00, 90.00, 90.00 degrees
Last column: nearest neighbours and their distance in Å.
Space group P4/mmm (No. 123)
One atom of each set of equivalent atoms:
Sr: 0.0000 0.0000 0.0000  8 Eu 3.79
Pm: 0.5000 0.5000 0.0000  8 Eu 3.79
Eu: 0.0000 0.5000 0.5000  4 Pm 3.79, 4 Sr 3.79

No. 13
This record from Alexandria via LeMat-Bulk describes a relaxed structure of SrPm2Eu. The functional is PBE.

## Properties
Crystal system: tetragonal
Density of states at the Fermi level (states/eV/cell): 5.9
Calculated volume (Å³ per atom): 39.6
E_form (kJ/mol of formula units): 79.5
Final energy (eV per atom): -5.158

Cell lengths 6.1243, 6.1243, 4.2202 Å; angles 90.00, 90.00, 90.00 degrees
Last column: nearest neighbours and their distance in Å.
Space group P4/mmm (No. 123)
One atom of each set of equivalent atoms:
Sr: 0.0000 0.0000 0.0000  8 Pm 3.72
Pm: 0.0000 0.5000 0.5000  4 Eu 3.72, 4 Sr 3.72
Eu: 0.5000 0.5000 0.0000  8 Pm 3.72

No. 14
This record from Alexandria via LeMat-Bulk describes a relaxed structure of Sr2PmEu. The functional is PBE.

## Properties
Crystal system: tetragonal
Density of states at the Fermi level (states/eV/cell): 6.0
Calculated volume (Å³ per atom): 45.3
E_form (kJ/mol of formula units): 51.3
Final energy (eV per atom): -4.464

Cell lengths 3.9818, 3.9818, 11.4187 Å; angles 90.00, 90.00, 90.00 degrees
Last column: nearest neighbours and their distance in Å.
Space group P4/mmm (No. 123)
One atom of each set of equivalent atoms:
Sr: 0.0000 0.0000 0.2362  4 Pm 3.90, 4 Sr 3.98, 4 Eu 4.12
Pm: 0.5000 0.5000 0.0000  8 Sr 3.90, 4 Pm 3.98
Eu: 0.5000 0.5000 0.5000  4 Eu 3.98, 8 Sr 4.12

No. 15
This record from Alexandria via LeMat-Bulk describes a relaxed structure of SrPm2Eu. The functional is PBE.

## Properties
Crystal system: trigonal
Density of states at the Fermi level (states/eV/cell): 18.3
Calculated volume (Å³ per atom): 39.9
E_form (kJ/mol of formula units): 93.7
Final energy (eV per atom): -5.122

Cell lengths 3.7147, 3.7147, 40.0476 Å; angles 90.00, 90.00, 120.00 degrees
Last column: nearest neighbours and their distance in Å.
Space group R-3m (No. 166, hexagonal axes)
One atom of each set of equivalent atoms:
Sr: 0.0000 0.0000 0.0000  2 Pm 3.61, 6 Sr 3.71
Pm: 0.0000 0.0000 0.0902  1 Sr 3.61, 6 Pm 3.71, 3 Eu 3.74
Eu: 0.0000 0.0000 0.5000  6 Eu 3.71, 6 Pm 3.74

No. 16
This record from Alexandria via LeMat-Bulk describes a relaxed structure of SrPm2Eu. The functional is PBE.

## Properties
Crystal system: cubic
Density of states at the Fermi level (states/eV/cell): 21.7
Calculated volume (Å³ per atom): 39.6
E_form (kJ/mol of formula units): 79.0
Final energy (eV per atom): -5.160

Cell lengths 8.5871, 8.5871, 8.5871 Å; angles 90.00, 90.00, 90.00 degrees
Last column: nearest neighbours and their distance in Å.
Space group Fm-3m (No. 225)
One atom of each set of equivalent atoms:
Sr: 0.0000 0.0000 0.0000  8 Pm 3.72
Pm: 0.2500 0.2500 0.2500  4 Sr 3.72, 4 Eu 3.72
Eu: 0.0000 0.0000 0.5000  8 Pm 3.72